[1]
The following is a DFT calculation (PBE-GGA) of KPb2F6 after structural relaxation.

It has space group P-3m1 (No. 164), with a = 4.1991 Å, b = 4.1991 Å, c = 10.4930 Å, α = 90.00°, β = 90.00° and γ = 120.00°. The asymmetric unit holds K at (0.0000, 0.0000, 0.0000), Pb at (0.3333, 0.6667, 0.6684), F at (0.0000, 0.0000, 0.2851), F at (0.3333, 0.6667, 0.4141) and F at (0.3333, 0.6667, 0.8815).

The uncorrected formation energy is -2.33 eV per atom.

[2]
The following is a DFT calculation (PBE-GGA) of KPbF4 after structural relaxation.

It has space group P2_1/c (No. 14), with a = 6.3373 Å, b = 6.0230 Å, c = 6.1659 Å, α = 90.00°, β = 96.98° and γ = 90.00°. The asymmetric unit holds K at (0.0000, 0.0000, 0.0000), Pb at (0.5000, 0.0000, 0.5000), F at (0.1868, 0.1425, 0.3857) and F at (0.3810, 0.7017, 0.2802).

The uncorrected formation energy is -2.34 eV per atom.

[3]
The following is a DFT calculation (PBE-GGA) of K2PbF5 after structural relaxation.

It has space group C2/c (No. 15), with a = 13.6851 Å, b = 6.3302 Å, c = 8.6975 Å, α = 90.00°, β = 114.49° and γ = 90.00°. The asymmetric unit holds K at (0.1425, 0.0012, 0.2704), Pb at (0.0000, 0.5000, 0.0000), F at (0.0000, 0.3716, 0.2500), F at (0.0691, 0.1893, 0.9678) and F at (0.1638, 0.3559, 0.6323).

The uncorrected formation energy is -2.47 eV per atom. The value obtained for the distance to the lowest polymorph of the same formula is 0.000 eV/atom.

[4]
The following is a DFT calculation (PBE-GGA) of K2PbF4 after structural relaxation.

It has space group I4/mmm (No. 139), with a = 4.8282 Å, b = 4.8282 Å, c = 13.8095 Å, α = 90.00°, β = 90.00° and γ = 90.00°. The asymmetric unit holds K at (0.0000, 0.0000, 0.1449), Pb at (0.0000, 0.0000, 0.5000), F at (0.0000, 0.0000, 0.3249) and F at (0.0000, 0.5000, 0.0000).

The uncorrected formation energy is -2.52 eV per atom. The value obtained for the distance to the lowest polymorph of the same formula is 0.077 eV/atom.

[5]
The following is a DFT calculation (PBE-GGA) of K2Pb2F7 after structural relaxation.

It has space group Cmmm (No. 65), with a = 7.9350 Å, b = 8.7722 Å, c = 6.1169 Å, α = 90.00°, β = 90.00° and γ = 90.00°. The asymmetric unit holds K at (0.2494, 0.0000, 0.0000), Pb at (0.0000, 0.2267, 0.5000), F at (0.0000, 0.0000, 0.2808), F at (0.0000, 0.5000, 0.5000) and F at (0.2500, 0.2500, 0.2661).

The uncorrected formation energy is -2.42 eV per atom.

[6]
The following is a DFT calculation (PBE-GGA) of K2PbF after structural relaxation.

It has space group R-3m (No. 166, hexagonal axes), with a = 3.7632 Å, b = 3.7632 Å, c = 30.4641 Å, α = 90.00°, β = 90.00° and γ = 120.00°. The asymmetric unit holds K at (0.0000, 0.0000, 0.1139), Pb at (0.0000, 0.0000, 0.0000) and F at (0.0000, 0.0000, 0.5000).

The uncorrected formation energy is -1.23 eV per atom. The value obtained for the distance to the lowest polymorph of the same formula is 0.000 eV/atom.

[7]
The following is a DFT calculation (PBE-GGA) of K2PdPbF8 after structural relaxation.

It has space group P-3m1 (No. 164), with a = 5.4835 Å, b = 5.4835 Å, c = 7.3583 Å, α = 90.00°, β = 90.00° and γ = 120.00°. The asymmetric unit holds K at (0.3333, 0.6667, 0.3237), Pd at (0.0000, 0.0000, 0.5000), Pb at (0.0000, 0.0000, 0.0000), F at (0.1595, 0.3190, 0.6686) and F at (0.3333, 0.6667, 0.9920).

The uncorrected formation energy is -1.94 eV per atom.

[8]
The following is a DFT calculation (PBE-GGA) of KPdPbF6 after structural relaxation.

It has space group Imma (No. 74), with a = 7.8553 Å, b = 8.1529 Å, c = 10.2135 Å, α = 90.00°, β = 90.00° and γ = 90.00°. The asymmetric unit holds K at (0.0000, 0.2500, 0.1587), Pd at (0.0000, 0.0000, 0.5000), Pb at (0.2500, 0.2500, 0.7500), F at (0.0000, 0.2500, 0.5671), F at (0.0000, 0.2500, 0.8895) and F at (0.1773, 0.0361, 0.3642).

The uncorrected formation energy is -2.03 eV per atom.

[9]
The following is a DFT calculation (PBE-GGA) of KPd2PbF8 after structural relaxation.

It has space group I-4 (No. 82), with a = 6.1195 Å, b = 6.1195 Å, c = 9.9051 Å, α = 90.00°, β = 90.00° and γ = 90.00°. The asymmetric unit holds K at (0.0000, 0.0000, 0.0000), Pd at (0.0000, 0.0000, 0.5000), Pd at (0.0000, 0.5000, 0.2500), Pb at (0.0000, 0.5000, 0.7500), F at (0.0843, 0.3124, 0.5115) and F at (0.1391, 0.7961, 0.2409).

The uncorrected formation energy is -1.75 eV per atom.

[10]
The following is a DFT calculation (PBE-GGA) of K2PtPbF after structural relaxation.

It has space group P4/mmm (No. 123), with a = 6.1900 Å, b = 6.1900 Å, c = 5.1389 Å, α = 90.00°, β = 90.00° and γ = 90.00°. The asymmetric unit holds K at (0.0000, 0.5000, 0.0000), Pt at (0.0000, 0.0000, 0.0000), Pb at (0.0000, 0.0000, 0.5000) and F at (0.5000, 0.5000, 0.5000).

The uncorrected formation energy is -0.63 eV per atom.

[11]
The following is a DFT calculation (PBE-GGA) of K2RbPb2F7 after structural relaxation.

It has space group C2/m (No. 12), with a = 6.6437 Å, b = 7.0405 Å, c = 12.0341 Å, α = 90.00°, β = 103.63° and γ = 90.00°. The asymmetric unit holds K at (0.1360, 0.0000, 0.3734), Rb at (0.0000, 0.0000, 0.0000), Pb at (0.0998, 0.5000, 0.2087), F at (0.0000, 0.5000, 0.0000), F at (0.1225, 0.2109, 0.7999) and F at (0.2488, 0.0000, 0.5892).

The uncorrected formation energy is -2.52 eV per atom.

[12]
The following is a DFT calculation (PBE-GGA) of KRb2PbF6 after structural relaxation.

It has space group R-3m (No. 166, hexagonal axes), with a = 6.7989 Å, b = 6.7989 Å, c = 34.9247 Å, α = 90.00°, β = 90.00° and γ = 120.00°. The asymmetric unit holds K at (0.0000, 0.0000, 0.0950), Rb at (0.0000, 0.0000, 0.2373), Rb at (0.0000, 0.0000, 0.3530), Pb at (0.0000, 0.0000, 0.0000), Pb at (0.0000, 0.0000, 0.5000), F at (0.0007, 0.5003, 0.3751) and F at (0.0430, 0.5215, 0.2018).

The uncorrected formation energy is -2.50 eV per atom.

Repeat the first record exactly.
The following is a DFT calculation (PBE-GGA) of KPb2F6 after structural relaxation.

It has space group P-3m1 (No. 164), with a = 4.1991 Å, b = 4.1991 Å, c = 10.4930 Å, α = 90.00°, β = 90.00° and γ = 120.00°. The asymmetric unit holds K at (0.0000, 0.0000, 0.0000), Pb at (0.3333, 0.6667, 0.6684), F at (0.0000, 0.0000, 0.2851), F at (0.3333, 0.6667, 0.4141) and F at (0.3333, 0.6667, 0.8815).

The uncorrected formation energy is -2.33 eV per atom.

What did the eleventh record say?
The following is a DFT calculation (PBE-GGA) of K2RbPb2F7 after structural relaxation.

It has space group C2/m (No. 12), with a = 6.6437 Å, b = 7.0405 Å, c = 12.0341 Å, α = 90.00°, β = 103.63° and γ = 90.00°. The asymmetric unit holds K at (0.1360, 0.0000, 0.3734), Rb at (0.0000, 0.0000, 0.0000), Pb at (0.0998, 0.5000, 0.2087), F at (0.0000, 0.5000, 0.0000), F at (0.1225, 0.2109, 0.7999) and F at (0.2488, 0.0000, 0.5892).

The uncorrected formation energy is -2.52 eV per atom.